{
  "formula": "LaTmTl2S4",
  "functional": "PBE",
  "state": "relaxed",
  "volume_a3_per_atom": 27.7,
  "sg": "P2/m, No. 10",
  "raw_formation_energy_ev_per_atom": -1.49,
  "lattice": [[7.1630, 0.0000, 0.0000], [0.0000, 4.1275, 0.0000], [-2.3751, 0.0000, 7.4860]],
  "species": ["La", "Tm", "Tl", "Tl", "S", "S", "S", "S"],
  "fractional_positions": [[0.0000, 0.0000, 0.0000], [0.5000, 0.5000, 0.0000], [0.0000, 0.5000, 0.5000], [0.5000, 0.0000, 0.5000], [0.2490, 0.5000, 0.2021], [0.2812, 0.0000, 0.8030], [0.7188, 0.0000, 0.1970], [0.7510, 0.5000, 0.7979]]
}



{
  "formula": "LaUTl2S4",
  "functional": "PBE",
  "state": "relaxed",
  "volume_a3_per_atom": 28.3,
  "sg": "P2/m, No. 10",
  "raw_formation_energy_ev_per_atom": -1.25,
  "lattice": [[7.2390, 0.0000, 0.0000], [0.0000, 4.1587, 0.0000], [-2.4000, 0.0000, 7.5137]],
  "species": ["La", "U", "Tl", "Tl", "S", "S", "S", "S"],
  "fractional_positions": [[0.0000, 0.0000, 0.0000], [0.5000, 0.5000, 0.0000], [0.0000, 0.5000, 0.5000], [0.5000, 0.0000, 0.5000], [0.2470, 0.5000, 0.2022], [0.2811, 0.0000, 0.8032], [0.7189, 0.0000, 0.1968], [0.7530, 0.5000, 0.7978]]
}



{
  "formula": "La2UTl2S6",
  "functional": "PBE",
  "state": "relaxed",
  "volume_a3_per_atom": 31.1,
  "sg": "C2/m, No. 12",
  "raw_formation_energy_ev_per_atom": -1.47,
  "lattice": [[3.6481, -6.2951, 0.0000], [3.6481, 6.2951, 0.0000], [-2.4526, 0.0000, 7.4487]],
  "species": ["La", "La", "U", "Tl", "Tl", "S", "S", "S", "S", "S", "S"],
  "fractional_positions": [[0.1660, 0.8340, 0.0000], [0.8340, 0.1660, 0.0000], [0.5000, 0.5000, 0.0000], [0.3317, 0.6683, 0.5000], [0.6683, 0.3317, 0.5000], [0.1197, 0.4380, 0.8051], [0.2577, 0.2577, 0.1993], [0.4380, 0.1197, 0.8051], [0.5620, 0.8803, 0.1949], [0.7423, 0.7423, 0.8007], [0.8803, 0.5620, 0.1949]]
}



{
  "formula": "La2UTl3S6",
  "functional": "PBE",
  "state": "relaxed",
  "volume_a3_per_atom": 28.7,
  "sg": "C2/m, No. 12",
  "raw_formation_energy_ev_per_atom": -1.34,
  "lattice": [[3.6505, -6.3165, 0.0000], [3.6505, 6.3165, 0.0000], [-2.4304, 0.0000, 7.4741]],
  "species": ["La", "La", "U", "Tl", "Tl", "Tl", "S", "S", "S", "S", "S", "S"],
  "fractional_positions": [[0.1666, 0.8334, 0.0000], [0.8334, 0.1666, 0.0000], [0.5000, 0.5000, 0.0000], [0.0000, 0.0000, 0.5000], [0.3326, 0.6674, 0.5000], [0.6674, 0.3326, 0.5000], [0.1136, 0.4331, 0.7998], [0.2485, 0.2485, 0.2034], [0.4331, 0.1136, 0.7998], [0.5669, 0.8864, 0.2002], [0.7515, 0.7515, 0.7966], [0.8864, 0.5669, 0.2002]]
}



{
  "formula": "La3UTl3S8",
  "functional": "PBE",
  "state": "relaxed",
  "volume_a3_per_atom": 30.9,
  "sg": "R-3m, No. 166",
  "raw_formation_energy_ev_per_atom": -1.49,
  "lattice": [[4.2295, 2.4419, 7.4843], [-4.2295, 2.4419, 7.4843], [0.0000, -4.8838, 7.4843]],
  "species": ["La", "La", "La", "U", "Tl", "Tl", "Tl", "S", "S", "S", "S", "S", "S", "S", "S"],
  "fractional_positions": [[0.0000, 0.5000, 0.5000], [0.5000, 0.0000, 0.5000], [0.5000, 0.5000, 0.0000], [0.0000, 0.0000, 0.0000], [0.0000, 0.0000, 0.5000], [0.0000, 0.5000, 0.0000], [0.5000, 0.0000, 0.0000], [0.2212, 0.2212, 0.7515], [0.2212, 0.7515, 0.2212], [0.2485, 0.7788, 0.7788], [0.2653, 0.2653, 0.2653], [0.7347, 0.7347, 0.7347], [0.7515, 0.2212, 0.2212], [0.7788, 0.2485, 0.7788], [0.7788, 0.7788, 0.2485]]
}



{
  "formula": "La2YTlS",
  "functional": "PBE",
  "state": "relaxed",
  "volume_a3_per_atom": 31.6,
  "sg": "P4/mmm, No. 123",
  "raw_formation_energy_ev_per_atom": -0.89,
  "lattice": [[5.5103, 0.0000, 0.0000], [0.0000, 5.5103, 0.0000], [0.0000, 0.0000, 5.2103]],
  "species": ["La", "La", "Y", "Tl", "S"],
  "fractional_positions": [[0.0000, 0.5000, 0.0000], [0.5000, 0.0000, 0.0000], [0.0000, 0.0000, 0.5000], [0.5000, 0.5000, 0.5000], [0.0000, 0.0000, 0.0000]]
}



{
  "formula": "LaY2TlS",
  "functional": "PBE",
  "state": "relaxed",
  "volume_a3_per_atom": 29.8,
  "sg": "P4/mmm, No. 123",
  "raw_formation_energy_ev_per_atom": -0.86,
  "lattice": [[5.2144, 0.0000, 0.0000], [0.0000, 5.2144, 0.0000], [0.0000, 0.0000, 5.4764]],
  "species": ["La", "Y", "Y", "Tl", "S"],
  "fractional_positions": [[0.0000, 0.0000, 0.0000], [0.0000, 0.5000, 0.5000], [0.5000, 0.0000, 0.5000], [0.5000, 0.5000, 0.0000], [0.0000, 0.0000, 0.5000]]
}



{
  "formula": "La3YTl4S8",
  "functional": "PBE",
  "state": "relaxed",
  "volume_a3_per_atom": 28.8,
  "sg": "R-3m, No. 166",
  "raw_formation_energy_ev_per_atom": -1.51,
  "lattice": [[4.2233, 2.4383, 7.4586], [-4.2233, 2.4383, 7.4586], [0.0000, -4.8766, 7.4586]],
  "species": ["La", "La", "La", "Y", "Tl", "Tl", "Tl", "Tl", "S", "S", "S", "S", "S", "S", "S", "S"],
  "fractional_positions": [[0.0000, 0.5000, 0.5000], [0.5000, 0.0000, 0.5000], [0.5000, 0.5000, 0.0000], [0.0000, 0.0000, 0.0000], [0.0000, 0.0000, 0.5000], [0.0000, 0.5000, 0.0000], [0.5000, 0.0000, 0.0000], [0.5000, 0.5000, 0.5000], [0.2286, 0.2286, 0.7448], [0.2286, 0.7448, 0.2286], [0.2552, 0.7714, 0.7714], [0.2647, 0.2647, 0.2647], [0.7353, 0.7353, 0.7353], [0.7448, 0.2286, 0.2286], [0.7714, 0.2552, 0.7714], [0.7714, 0.7714, 0.2552]]
}



{
  "formula": "La2YTl3S6",
  "functional": "PBE",
  "state": "relaxed",
  "volume_a3_per_atom": 28.5,
  "sg": "C2/m, No. 12",
  "raw_formation_energy_ev_per_atom": -1.51,
  "lattice": [[3.6412, -6.3012, 0.0000], [3.6412, 6.3012, 0.0000], [-2.4239, 0.0000, 7.4639]],
  "species": ["La", "La", "Y", "Tl", "Tl", "Tl", "S", "S", "S", "S", "S", "S"],
  "fractional_positions": [[0.1667, 0.8333, 0.0000], [0.8333, 0.1667, 0.0000], [0.5000, 0.5000, 0.0000], [0.0000, 0.0000, 0.5000], [0.3335, 0.6665, 0.5000], [0.6665, 0.3335, 0.5000], [0.1115, 0.4327, 0.7987], [0.2467, 0.2467, 0.2044], [0.4327, 0.1115, 0.7987], [0.5673, 0.8885, 0.2013], [0.7533, 0.7533, 0.7956], [0.8885, 0.5673, 0.2013]]
}



{
  "formula": "La3ZrTl4S8",
  "functional": "PBE",
  "state": "relaxed",
  "volume_a3_per_atom": 28.0,
  "sg": "R-3m, No. 166",
  "raw_formation_energy_ev_per_atom": -1.38,
  "lattice": [[4.1359, 2.3878, 7.5520], [-4.1359, 2.3878, 7.5520], [0.0000, -4.7757, 7.5520]],
  "species": ["La", "La", "La", "Zr", "Tl", "Tl", "Tl", "Tl", "S", "S", "S", "S", "S", "S", "S", "S"],
  "fractional_positions": [[0.0000, 0.5000, 0.5000], [0.5000, 0.0000, 0.5000], [0.5000, 0.5000, 0.0000], [0.0000, 0.0000, 0.0000], [0.0000, 0.0000, 0.5000], [0.0000, 0.5000, 0.0000], [0.5000, 0.0000, 0.0000], [0.5000, 0.5000, 0.5000], [0.2184, 0.2184, 0.7613], [0.2184, 0.7613, 0.2184], [0.2387, 0.7816, 0.7816], [0.2630, 0.2630, 0.2630], [0.7370, 0.7370, 0.7370], [0.7613, 0.2184, 0.2184], [0.7816, 0.2387, 0.7816], [0.7816, 0.7816, 0.2387]]
}



{
  "formula": "La2ZrTl3S6",
  "functional": "PBE",
  "state": "relaxed",
  "volume_a3_per_atom": 27.3,
  "sg": "C2/m, No. 12",
  "raw_formation_energy_ev_per_atom": -1.34,
  "lattice": [[3.5418, -6.1316, 0.0000], [3.5418, 6.1316, 0.0000], [-2.3948, 0.0000, 7.5434]],
  "species": ["La", "La", "Zr", "Tl", "Tl", "Tl", "S", "S", "S", "S", "S", "S"],
  "fractional_positions": [[0.1656, 0.8344, 0.0000], [0.8344, 0.1656, 0.0000], [0.5000, 0.5000, 0.0000], [0.0000, 0.0000, 0.5000], [0.3288, 0.6712, 0.5000], [0.6712, 0.3288, 0.5000], [0.1288, 0.4335, 0.8007], [0.2667, 0.2667, 0.2080], [0.4335, 0.1288, 0.8007], [0.5665, 0.8712, 0.1993], [0.7333, 0.7333, 0.7920], [0.8712, 0.5665, 0.1993]]
}



{
  "formula": "La3ZrTl3S8",
  "functional": "PBE",
  "state": "relaxed",
  "volume_a3_per_atom": 30.0,
  "sg": "R-3m, No. 166",
  "raw_formation_energy_ev_per_atom": -1.53,
  "lattice": [[4.1616, 2.4027, 7.5088], [-4.1616, 2.4027, 7.5088], [0.0000, -4.8054, 7.5088]],
  "species": ["La", "La", "La", "Zr", "Tl", "Tl", "Tl", "S", "S", "S", "S", "S", "S", "S", "S"],
  "fractional_positions": [[0.0000, 0.5000, 0.5000], [0.5000, 0.0000, 0.5000], [0.5000, 0.5000, 0.0000], [0.0000, 0.0000, 0.0000], [0.0000, 0.0000, 0.5000], [0.0000, 0.5000, 0.0000], [0.5000, 0.0000, 0.0000], [0.2162, 0.2162, 0.7606], [0.2162, 0.7606, 0.2162], [0.2394, 0.7838, 0.7838], [0.2645, 0.2645, 0.2645], [0.7355, 0.7355, 0.7355], [0.7606, 0.2162, 0.2162], [0.7838, 0.2394, 0.7838], [0.7838, 0.7838, 0.2394]]
}



{
  "formula": "LaTmS3",
  "functional": "PBE",
  "state": "relaxed",
  "volume_a3_per_atom": 25.0,
  "relative_energy_mev_per_atom": 69,
  "sg": "C2/m, No. 12",
  "raw_formation_energy_ev_per_atom": -2.09,
  "lattice": [[7.2967, -1.9838, 0.0000], [7.2967, 1.9838, 0.0000], [-0.2928, 0.0000, 8.6240]],
  "species": ["La", "La", "Tm", "Tm", "S", "S", "S", "S", "S", "S"],
  "fractional_positions": [[0.1147, 0.1147, 0.0899], [0.8853, 0.8853, 0.9101], [0.3273, 0.3273, 0.3637], [0.6727, 0.6727, 0.6363], [0.1437, 0.1437, 0.4383], [0.2442, 0.2442, 0.8341], [0.4626, 0.4626, 0.1648], [0.5374, 0.5374, 0.8352], [0.7558, 0.7558, 0.1659], [0.8563, 0.8563, 0.5617]]
}



{
  "formula": "La2TmS3",
  "functional": "PBE",
  "state": "relaxed",
  "volume_a3_per_atom": 23.7,
  "sg": "C2/m, No. 12",
  "raw_formation_energy_ev_per_atom": -2.05,
  "lattice": [[2.8755, -2.8762, 0.0000], [2.8755, 2.8762, 0.0000], [-2.8490, 0.0000, 8.5903]],
  "species": ["La", "La", "Tm", "S", "S", "S"],
  "fractional_positions": [[0.1696, 0.1696, 0.3394], [0.8304, 0.8304, 0.6606], [0.5000, 0.5000, 0.0000], [0.0000, 0.0000, 0.0000], [0.3422, 0.3422, 0.6846], [0.6578, 0.6578, 0.3154]]
}



{
  "formula": "LaTm2S4",
  "functional": "PBE",
  "state": "relaxed",
  "volume_a3_per_atom": 23.3,
  "sg": "Cmcm, No. 63",
  "raw_formation_energy_ev_per_atom": -2.12,
  "lattice": [[1.9421, -6.4052, 0.0000], [1.9421, 6.4052, 0.0000], [0.0000, 0.0000, 13.1331]],
  "species": ["La", "La", "Tm", "Tm", "Tm", "Tm", "S", "S", "S", "S", "S", "S", "S", "S"],
  "fractional_positions": [[0.1207, 0.8793, 0.7500], [0.8793, 0.1207, 0.2500], [0.3690, 0.6310, 0.5658], [0.3690, 0.6310, 0.9342], [0.6310, 0.3690, 0.0658], [0.6310, 0.3690, 0.4342], [0.0000, 0.0000, 0.0000], [0.0000, 0.0000, 0.5000], [0.2706, 0.7294, 0.1177], [0.2706, 0.7294, 0.3823], [0.4540, 0.5460, 0.7500], [0.5460, 0.4540, 0.2500], [0.7294, 0.2706, 0.6177], [0.7294, 0.2706, 0.8823]]
}



{
  "formula": "La6TmS8",
  "functional": "PBE",
  "state": "relaxed",
  "volume_a3_per_atom": 26.6,
  "sg": "Fm-3m, No. 225",
  "raw_formation_energy_ev_per_atom": -2.16,
  "lattice": [[0.0000, 5.8423, 5.8423], [5.8423, 0.0000, 5.8423], [5.8423, 5.8423, 0.0000]],
  "species": ["La", "La", "La", "La", "La", "La", "Tm", "S", "S", "S", "S", "S", "S", "S", "S"],
  "fractional_positions": [[0.0000, 0.0000, 0.5000], [0.0000, 0.5000, 0.0000], [0.0000, 0.5000, 0.5000], [0.5000, 0.0000, 0.0000], [0.5000, 0.0000, 0.5000], [0.5000, 0.5000, 0.0000], [0.0000, 0.0000, 0.0000], [0.2353, 0.2353, 0.7647], [0.2353, 0.7647, 0.2353], [0.2353, 0.7647, 0.7647], [0.2500, 0.2500, 0.2500], [0.7500, 0.7500, 0.7500], [0.7647, 0.2353, 0.2353], [0.7647, 0.2353, 0.7647], [0.7647, 0.7647, 0.2353]]
}



{
  "formula": "La4Tm3S8",
  "functional": "PBE",
  "state": "relaxed",
  "volume_a3_per_atom": 24.4,
  "sg": "C2/m, No. 12",
  "raw_formation_energy_ev_per_atom": -2.03,
  "lattice": [[5.6740, -5.6810, 0.0000], [5.6740, 5.6810, 0.0000], [-5.6190, 0.0000, 5.6872]],
  "species": ["La", "La", "La", "La", "Tm", "Tm", "Tm", "S", "S", "S", "S", "S", "S", "S", "S"],
  "fractional_positions": [[0.0000, 0.0000, 0.0000], [0.0000, 0.5000, 0.0000], [0.5000, 0.0000, 0.0000], [0.5000, 0.5000, 0.5000], [0.0000, 0.5000, 0.5000], [0.5000, 0.0000, 0.5000], [0.5000, 0.5000, 0.0000], [0.2449, 0.7551, 0.5000], [0.2530, 0.2530, 0.5170], [0.2558, 0.2558, 0.9924], [0.2586, 0.7414, 0.0000], [0.7414, 0.2586, 0.0000], [0.7442, 0.7442, 0.0076], [0.7470, 0.7470, 0.4830], [0.7551, 0.2449, 0.5000]]
}



{
  "formula": "LaTm3S4",
  "functional": "PBE",
  "state": "relaxed",
  "volume_a3_per_atom": 21.4,
  "sg": "Cmmm, No. 65",
  "raw_formation_energy_ev_per_atom": -1.97,
  "lattice": [[3.9749, -5.5534, 0.0000], [3.9749, 5.5534, 0.0000], [0.0000, 0.0000, 3.8713]],
  "species": ["La", "Tm", "Tm", "Tm", "S", "S", "S", "S"],
  "fractional_positions": [[0.0000, 0.0000, 0.0000], [0.0000, 0.5000, 0.5000], [0.5000, 0.0000, 0.5000], [0.5000, 0.5000, 0.0000], [0.2583, 0.7417, 0.0000], [0.2672, 0.2672, 0.5000], [0.7328, 0.7328, 0.5000], [0.7417, 0.2583, 0.0000]]
}



{
  "formula": "La5TmS6",
  "functional": "PBE",
  "state": "relaxed",
  "volume_a3_per_atom": 24.5,
  "sg": "C2/m, No. 12",
  "raw_formation_energy_ev_per_atom": -2.12,
  "lattice": [[3.5545, -6.1635, 0.0000], [3.5545, 6.1635, 0.0000], [-2.3927, 0.0000, 6.6966]],
  "species": ["La", "La", "La", "La", "La", "Tm", "S", "S", "S", "S", "S", "S"],
  "fractional_positions": [[0.0000, 0.0000, 0.0000], [0.1664, 0.8336, 0.5000], [0.3290, 0.6710, 0.0000], [0.6710, 0.3290, 0.0000], [0.8336, 0.1664, 0.5000], [0.5000, 0.5000, 0.5000], [0.1022, 0.4207, 0.2613], [0.2631, 0.2631, 0.7434], [0.4207, 0.1022, 0.2613], [0.5793, 0.8978, 0.7387], [0.7369, 0.7369, 0.2566], [0.8978, 0.5793, 0.7387]]
}



{
  "formula": "LaTmS3",
  "functional": "PBE",
  "state": "relaxed",
  "volume_a3_per_atom": 23.0,
  "relative_energy_mev_per_atom": 19,
  "sg": "Pnma, No. 62",
  "raw_formation_energy_ev_per_atom": -2.14,
  "lattice": [[7.4652, 0.0000, 0.0000], [0.0000, 4.0323, 0.0000], [0.0000, 0.0000, 15.3113]],
  "species": ["La", "La", "La", "La", "Tm", "Tm", "Tm", "Tm", "S", "S", "S", "S", "S", "S", "S", "S", "S", "S", "S", "S"],
  "fractional_positions": [[0.1418, 0.2500, 0.1990], [0.3582, 0.7500, 0.6990], [0.6418, 0.2500, 0.3010], [0.8582, 0.7500, 0.8010], [0.2262, 0.7500, 0.4565], [0.2738, 0.2500, 0.9565], [0.7262, 0.7500, 0.0435], [0.7738, 0.2500, 0.5435], [0.0127, 0.2500, 0.3971], [0.1286, 0.7500, 0.0582], [0.1528, 0.2500, 0.7864], [0.3472, 0.7500, 0.2864], [0.3714, 0.2500, 0.5582], [0.4873, 0.7500, 0.8971], [0.5127, 0.2500, 0.1029], [0.6286, 0.7500, 0.4418], [0.6528, 0.2500, 0.7136], [0.8472, 0.7500, 0.2136], [0.8714, 0.2500, 0.9418], [0.9873, 0.7500, 0.6029]]
}